1.
Below is an optimized crystal structure of KRb2HgCl6, with properties calculated at the PBE level.

Lattice parameters (Å, degrees): 7.863 7.863 7.863 123.76 123.76 83.61
Fractional positions:
Cl 0.683 0.129 0.813
Cl 0.317 0.871 0.187
Cl 0.871 0.683 0.554
Cl 0.241 0.241 0.000
Cl 0.129 0.317 0.446
Cl 0.759 0.759 0.000
Hg 0.000 0.000 0.000
Rb 0.750 0.250 0.500
Rb 0.250 0.750 0.500
K 0.500 0.500 0.000

* calculated volume: 322 Å³ per cell
* final energy: -2.7173 eV per atom


2.
Below is an optimized crystal structure of NiAgHgBi, with properties calculated at the PBE level.

Lattice parameters (Å, degrees): 4.882 4.882 4.882 60.00 60.00 60.00
Fractional positions:
Hg 0.250 0.250 0.250
Ag 0.500 0.500 0.500
Bi 0.000 0.000 0.000
Ni 0.750 0.750 0.750

* magnetization: 0.00 Bohr magnetons per cell
* calculated volume: 82 Å³ per cell
* final energy: -2.8196 eV per atom


3.
Below is an optimized crystal structure of RbTmBeTe3, with properties calculated at the PBE level.

Lattice parameters (Å, degrees): 8.535 8.535 11.519 90.00 90.00 151.04
Fractional positions:
Te 0.380 0.620 0.927
Te 0.057 0.943 0.750
Te 0.380 0.620 0.573
Te 0.620 0.380 0.073
Te 0.620 0.380 0.427
Te 0.943 0.057 0.250
Tm 0.000 0.000 0.000
Tm 0.000 0.000 0.500
Rb 0.744 0.256 0.750
Rb 0.256 0.744 0.250
Be 0.536 0.464 0.250
Be 0.464 0.536 0.750

* magnetization: 0.01 Bohr magnetons per cell
* calculated volume: 406 Å³ per cell
* final energy: -4.1064 eV per atom


4.
Below is an optimized crystal structure of Zr6FeNi, with properties calculated at the PBE level.

Lattice parameters (Å, degrees): 8.976 5.672 5.672 33.40 90.00 90.00
Fractional positions:
Zr 0.000 0.581 0.581
Zr 0.806 0.863 0.863
Zr 0.500 0.425 0.425
Zr 0.698 0.134 0.134
Zr 0.194 0.863 0.863
Zr 0.302 0.134 0.134
Ni 0.500 0.728 0.728
Fe 0.000 0.271 0.271

* magnetization: 0.02 Bohr magnetons per cell
* calculated volume: 159 Å³ per cell
* formation enthalpy at 0 K: -0.17 eV/atom
* final energy: -8.3184 eV per atom


5.
Below is an optimized crystal structure of Lu4SiPN2, with properties calculated at the PBE level.

Lattice parameters (Å, degrees): 3.495 3.495 12.992 90.00 90.00 120.00
Fractional positions:
Si 0.667 0.333 0.000
Lu 0.667 0.333 0.362
Lu 0.667 0.333 0.638
Lu 0.333 0.667 0.839
Lu 0.333 0.667 0.161
N 0.000 0.000 0.742
N 0.000 0.000 0.258
P 0.333 0.667 0.500

* magnetization: 0.00 Bohr magnetons per cell
* calculated volume: 137 Å³ per cell
* final energy: -7.0024 eV per atom


6.
Below is an optimized crystal structure of ZrSeS, with properties calculated at the PBE level.

Lattice parameters (Å, degrees): 4.764 4.764 3.546 90.00 90.00 120.00
Fractional positions:
Se 0.333 0.667 0.000
Zr 0.667 0.333 0.000
S 0.000 0.000 0.000

* magnetization: 0.00 Bohr magnetons per cell
* calculated volume: 70 Å³ per cell
* final energy: -5.7610 eV per atom
* excess energy over the best structure of this formula in the dataset: 1055 meV per atom


7.
Below is an optimized crystal structure of LuZr2Cu4Si4, with properties calculated at the PBE level.

Lattice parameters (Å, degrees): 7.608 7.608 7.608 149.86 129.50 59.94
Fractional positions:
Si 0.686 0.500 0.186
Si 0.781 0.781 0.000
Si 0.314 0.500 0.814
Si 0.219 0.219 0.000
Cu 0.638 0.329 0.308
Cu 0.979 0.671 0.308
Cu 0.362 0.671 0.692
Cu 0.021 0.329 0.692
Zr 0.376 0.876 0.500
Zr 0.624 0.124 0.500
Lu 0.000 0.000 0.000

* magnetization: 0.00 Bohr magnetons per cell
* calculated volume: 169 Å³ per cell
* final energy: -5.8766 eV per atom


8.
Below is an optimized crystal structure of Gd2Ag2O5, with properties calculated at the PBE level.

Lattice parameters (Å, degrees): 7.017 4.111 4.111 90.00 90.00 90.00
Fractional positions:
Ag 0.808 0.500 0.500
Ag 0.192 0.500 0.500
O 0.785 0.500 0.000
O 0.215 0.000 0.500
O 0.785 0.000 0.500
O 0.215 0.500 0.000
O 0.500 0.500 0.500
Gd 0.000 0.000 0.000
Gd 0.500 0.000 0.000

* magnetization: 0.00 Bohr magnetons per cell
* calculated volume: 119 Å³ per cell
* final energy: -5.8683 eV per atom
* excess energy over the best structure of this formula in the dataset: 115 meV per atom


9.
Below is an optimized crystal structure of Lu4AlNiN2, with properties calculated at the PBE level.

Lattice parameters (Å, degrees): 3.370 3.370 14.264 90.00 90.00 120.00
Fractional positions:
Al 0.000 0.000 0.000
Lu 0.333 0.667 0.826
Lu 0.333 0.667 0.174
Lu 0.000 0.000 0.637
Lu 0.000 0.000 0.363
N 0.667 0.333 0.741
N 0.667 0.333 0.259
Ni 0.333 0.667 0.500

* magnetization: 0.00 Bohr magnetons per cell
* calculated volume: 140 Å³ per cell
* final energy: -6.4772 eV per atom


10.
Below is an optimized crystal structure of NdUGa, with properties calculated at the PBE level.

Lattice parameters (Å, degrees): 4.940 4.940 4.940 60.00 60.00 60.00
Fractional positions:
Nd 0.750 0.750 0.750
U 0.000 0.000 0.000
Ga 0.250 0.250 0.250

* magnetization: 3.83 Bohr magnetons per cell
* calculated volume: 85 Å³ per cell
* final energy: -5.5973 eV per atom
* excess energy over the best structure of this formula in the dataset: 0 meV per atom


11.
Below is an optimized crystal structure of NaLaTaIr, with properties calculated at the PBE level.

Lattice parameters (Å, degrees): 4.909 4.909 4.909 60.00 60.00 60.00
Fractional positions:
La 0.250 0.250 0.250
Na 0.750 0.750 0.750
Ta 0.000 0.000 0.000
Ir 0.500 0.500 0.500

* magnetization: 1.25 Bohr magnetons per cell
* calculated volume: 84 Å³ per cell
* final energy: -5.9656 eV per atom
* excess energy over the best structure of this formula in the dataset: 400 meV per atom


12.
Below is an optimized crystal structure of KRbSbAu, with properties calculated at the PBE level.

Lattice parameters (Å, degrees): 6.813 6.744 6.744 72.81 90.00 90.00
Fractional positions:
Au 0.500 0.996 0.996
Au 0.000 0.996 0.996
Sb 0.750 0.743 0.263
Sb 0.250 0.263 0.743
K 0.250 0.495 0.165
K 0.750 0.165 0.495
Rb 0.250 0.837 0.506
Rb 0.750 0.506 0.837

* calculated volume: 296 Å³ per cell
* final energy: -2.8719 eV per atom
* excess energy over the best structure of this formula in the dataset: 2 meV per atom